(1)
LiPuThIr | PBE | optimized geometry

Results
* D(E_F): 6.052 states/eV/f.u.
* SG: No. 216
* electronic total energy: -8.415 eV per atom

abc: 4.9981 4.9981 4.9981
angles: 60.00 60.00 60.00
Site moments in Bohr magnetons follow the coordinates.
Positions (direct):
Pu 0.2500 0.2500 0.2500  5.29
Li 0.0000 0.0000 0.0000  0.03
Th 0.7500 0.7500 0.7500  0.15
Ir 0.5000 0.5000 0.5000  -0.17


(2)
LiTmPuIr | PBE | optimized geometry

Results
* D(E_F): 7.405 states/eV/f.u.
* SG: No. 216
* electronic total energy: -7.786 eV per atom

abc: 4.8808 4.8808 4.8808
angles: 60.00 60.00 60.00
Site moments in Bohr magnetons follow the coordinates.
Positions (direct):
Tm 0.0000 0.0000 0.0000  0.17
Pu 0.5000 0.5000 0.5000  5.25
Li 0.7500 0.7500 0.7500  0.04
Ir 0.2500 0.2500 0.2500  -0.13